#one
Density functional theory data (PBE) for crystalline LiOsPt2 at its relaxed geometry.

Computed properties:
SG: Cmmm, No. 65

Unit cell a=5.5104 b=7.7223 c=2.6961 alpha=90.00 beta=90.00 gamma=90.00
With the nearest neighbours (Å) after each atom.
Fractional positions:
Li (0.0000, 0.0000, 0.0000)  2 Li 2.70, 8 Pt 2.73, 2 Os 2.76
Li (0.5000, 0.5000, 0.0000)  2 Li 2.70, 8 Pt 2.73, 2 Os 2.76
Os (0.0000, 0.5000, 0.0000)  2 Os 2.70, 8 Pt 2.73, 2 Li 2.76
Os (0.5000, 0.0000, 0.0000)  2 Os 2.70, 8 Pt 2.73, 2 Li 2.76
Pt (0.2500, 0.2500, 0.5000)  4 Pt 2.70-2.76, 4 Li 2.73, 4 Os 2.73
Pt (0.2500, 0.7500, 0.5000)  4 Pt 2.70-2.76, 4 Li 2.73, 4 Os 2.73
Pt (0.7500, 0.2500, 0.5000)  4 Pt 2.70-2.76, 4 Li 2.73, 4 Os 2.73
Pt (0.7500, 0.7500, 0.5000)  4 Pt 2.70-2.76, 4 Os 2.73, 4 Li 2.73


#two
Density functional theory data (PBE) for crystalline LiOsPt2 at its relaxed geometry.

Computed properties:
SG: Cmmm, No. 65

Unit cell a=2.7384 b=4.6717 c=9.2856 alpha=90.00 beta=90.00 gamma=90.00
With the nearest neighbours (Å) after each atom.
Fractional positions:
Li (0.0000, 0.0000, 0.0000)  4 Pt 2.61, 6 Li 2.71-2.74
Li (0.5000, 0.5000, 0.0000)  4 Pt 2.61, 6 Li 2.71-2.74
Os (0.0000, 0.0000, 0.5000)  6 Os 2.71-2.74, 4 Pt 2.78
Os (0.5000, 0.5000, 0.5000)  6 Os 2.71-2.74, 4 Pt 2.78
Pt (0.0000, 0.5000, 0.2397)  2 Li 2.61, 6 Pt 2.71-2.74, 2 Os 2.78
Pt (0.0000, 0.5000, 0.7603)  2 Li 2.61, 6 Pt 2.71-2.74, 2 Os 2.78
Pt (0.5000, 0.0000, 0.2397)  2 Li 2.61, 6 Pt 2.71-2.74, 2 Os 2.78
Pt (0.5000, 0.0000, 0.7603)  2 Li 2.61, 6 Pt 2.71-2.74, 2 Os 2.78


Which of them is least stable? Easy: #two.


#one
Density functional theory data (PBE) for crystalline LiOs2Pt at its relaxed geometry.

Computed properties:
SG: P4/mmm, No. 123

Unit cell a=2.6454 b=2.6454 c=8.3671 alpha=90.00 beta=90.00 gamma=90.00
With the nearest neighbours (Å) after each atom.
Fractional positions:
Li (0.0000, 0.0000, 0.0000)  4 Li 2.65, 8 Os 2.83
Os (0.5000, 0.5000, 0.2532)  4 Os 2.65, 4 Pt 2.79, 4 Li 2.83
Os (0.5000, 0.5000, 0.7468)  4 Os 2.65, 4 Pt 2.79, 4 Li 2.83
Pt (0.0000, 0.0000, 0.5000)  4 Pt 2.65, 8 Os 2.79


#two
Density functional theory data (PBE) for crystalline LiOs2Pt at its relaxed geometry.

Computed properties:
SG: I-4m2, No. 119

Unit cell a=3.8930 b=3.8930 c=7.3479 alpha=90.00 beta=90.00 gamma=90.00
With the nearest neighbours (Å) after each atom.
Fractional positions:
Li (0.0000, 0.0000, 0.0000)  8 Os 2.68-2.75, 4 Pt 2.68
Li (0.5000, 0.5000, 0.5000)  8 Os 2.68-2.75, 4 Pt 2.68
Os (0.0000, 0.0000, 0.5000)  4 Os 2.68, 4 Pt 2.68, 4 Li 2.75
Os (0.0000, 0.5000, 0.2500)  4 Li 2.68, 4 Os 2.68, 4 Pt 2.75
Os (0.5000, 0.0000, 0.7500)  4 Li 2.68, 4 Os 2.68, 4 Pt 2.75
Os (0.5000, 0.5000, 0.0000)  4 Os 2.68, 4 Pt 2.68, 4 Li 2.75
Pt (0.0000, 0.5000, 0.7500)  4 Li 2.68, 8 Os 2.68-2.75
Pt (0.5000, 0.0000, 0.2500)  4 Li 2.68, 8 Os 2.68-2.75


Which of them is least stable? Easy: #one.